MgAlCd2 | the Alexandria database | PBE-GGA | relaxed; total magnetic moment = 0.00 Bohr magnetons per cell; calculated volume = 83.6 Å³ per cell; E_form = 0.016 eV/atom
1.0
5.260 0.000 0.000
0.000 3.078 0.000
-1.883 0.000 5.162
Mg Al Cd
1 1 2
direct
0.000 0.000 0.000 Mg
0.000 0.500 0.500 Al
0.500 0.000 0.500 Cd
0.500 0.500 0.000 Cd


P3C | the Alexandria database | PBE-GGA | relaxed; energy above the lowest structure with this stoichiometry = 0.157 eV per atom; total magnetic moment = 0.00 Bohr magnetons per cell; calculated volume = 54.6 Å³ per cell; E_form = 0.565 eV/atom
1.0
3.213 0.000 0.000
-1.599 4.022 0.000
-0.067 -1.027 4.225
P C
3 1
direct
0.000 0.000 0.000 P
0.265 0.530 0.356 P
0.675 0.343 0.622 P
0.472 0.937 0.250 C